Entry 1:
A plane-wave DFT calculation with GGA-PBE was carried out for a relaxed HfAuSeBr2 crystal.

a b c (Å): 5.2579 5.2579 5.1590
angles (deg): 90.00 90.00 90.00
Space group P4/mmm (No. 123)
One atom of each set of equivalent atoms:
Hf: 0.0000 0.0000 0.0000 [1 per cell]
Au: 0.5000 0.5000 0.5000 [1 per cell]
Se: 0.0000 0.0000 0.5000 [1 per cell]
Br: 0.0000 0.5000 0.0000 [2 per cell]



Entry 2:
A plane-wave DFT calculation with GGA-PBE was carried out for a relaxed HfAuSe2Br crystal.

a b c (Å): 5.1763 5.1763 5.2247
angles (deg): 90.00 90.00 90.00
Space group P4/mmm (No. 123)
One atom of each set of equivalent atoms:
Hf: 0.0000 0.0000 0.0000 [1 per cell]
Au: 0.5000 0.5000 0.5000 [1 per cell]
Se: 0.0000 0.5000 0.0000 [2 per cell]
Br: 0.0000 0.0000 0.5000 [1 per cell]



Entry 3:
A plane-wave DFT calculation with GGA-PBE was carried out for a relaxed HfAuSeBr2 crystal.

a b c (Å): 5.1448 5.1448 5.2079
angles (deg): 90.00 90.00 90.00
Space group P4/mmm (No. 123)
One atom of each set of equivalent atoms:
Hf: 0.0000 0.0000 0.0000 [1 per cell]
Au: 0.5000 0.5000 0.5000 [1 per cell]
Se: 0.5000 0.5000 0.0000 [1 per cell]
Br: 0.0000 0.5000 0.5000 [2 per cell]



Entry 4:
A plane-wave DFT calculation with GGA-PBE was carried out for a relaxed HfAuSe2Br crystal.

a b c (Å): 5.1111 5.1111 4.9606
angles (deg): 90.00 90.00 90.00
Space group P4/mmm (No. 123)
One atom of each set of equivalent atoms:
Hf: 0.0000 0.0000 0.0000 [1 per cell]
Au: 0.5000 0.5000 0.5000 [1 per cell]
Se: 0.0000 0.5000 0.5000 [2 per cell]
Br: 0.5000 0.5000 0.0000 [1 per cell]



| no. | E_form (uncorrected) (eV/atom) | magnetic moment (μB/f.u.) |
| --- | --- | --- |
| 1 | -0.3379 | 0.00 |
| 2 | -0.2595 | 0.00 |
| 3 | 0.5738 | 1.54 |
| 4 | 0.5358 | 0.82 |